No. 1
The following is a PBE calculation of a relaxed structure of YTl2Ru, from Alexandria.

a = 4.9595 Å, b = 4.9595 Å, c = 4.9595 Å
α = 60.00°, β = 60.00°, γ = 60.00°
Sites, in units of the cell vectors:
Tl (0.2500, 0.2500, 0.2500)
Tl (0.7500, 0.7500, 0.7500)
Y (0.0000, 0.0000, 0.0000)
Ru (0.5000, 0.5000, 0.5000)

Computed properties:
DFT total energy in Ry per atom: -0.373
Fermi-level density of states in states/eV/cell: 2.073

No. 2
The following is a PBE calculation of a relaxed structure of CeTh2Tl, from Alexandria.

a = 4.8451 Å, b = 4.9507 Å, c = 4.9507 Å
α = 90.00°, β = 90.00°, γ = 90.00°
Sites, in units of the cell vectors:
Ce (0.5000, 0.5000, 0.5000)
Th (0.0000, 0.5000, 0.0000)
Th (0.0000, 0.0000, 0.5000)
Tl (0.5000, 0.0000, 0.0000)

Computed properties:
DFT total energy in Ry per atom: -0.430
Fermi-level density of states in states/eV/cell: 8.422

No. 3
The following is a PBE calculation of a relaxed structure of TiCu5Pd6, from Alexandria.

a = 8.0900 Å, b = 4.0139 Å, c = 6.2939 Å
α = 71.41°, β = 80.88°, γ = 60.19°
Sites, in units of the cell vectors:
Pd (0.7492, 0.0847, 0.3322)
Pd (0.2444, 0.2553, 0.0000)
Pd (0.2508, 0.9153, 0.6678)
Pd (0.7556, 0.7447, 0.0000)
Pd (0.7492, 0.4169, 0.6678)
Pd (0.2508, 0.5831, 0.3322)
Cu (0.0000, 0.3300, 0.3400)
Cu (0.5000, 0.8365, 0.3271)
Cu (0.5000, 0.5000, 0.0000)
Cu (0.5000, 0.1635, 0.6729)
Cu (0.0000, 0.6700, 0.6600)
Ti (0.0000, 0.0000, 0.0000)

Computed properties:
DFT total energy in Ry per atom: -0.386
Fermi-level density of states in states/eV/cell: 5.023

No. 4
The following is a PBE calculation of a relaxed structure of HgPtCl2, from Alexandria.

a = 4.4264 Å, b = 4.4264 Å, c = 4.0911 Å
α = 90.00°, β = 90.00°, γ = 90.00°
Sites, in units of the cell vectors:
Pt (0.0000, 0.5000, 0.5000)
Hg (0.5000, 0.0000, 0.5000)
Cl (0.0000, 0.0000, 0.0000)
Cl (0.5000, 0.5000, 0.0000)

Computed properties:
DFT total energy in Ry per atom: -0.148
Fermi-level density of states in states/eV/cell: 3.878